# 1
This record from Alexandria via LeMat-Bulk describes a PBEsol-optimized structure of Mg2MnV3S8. The functional is meta-GGA SCAN.

Output
**ΔE_f (raw)**: -1238 meV/atom

Cell: 7.1211 7.1211 17.7380 Å, 90.00 90.00 120.00°
Space group R-3m (No. 166, hexagonal axes)
Symmetry-distinct sites (fractional):
Mg: 0.0000 0.0000 0.1263 [6 per cell]
Mn: 0.0000 0.0000 0.5000 [3 per cell]
V: 0.0000 0.5000 0.0000 [9 per cell]
S: 0.0000 0.0000 0.2620 [6 per cell]
S: 0.0334 0.5167 0.2540 [18 per cell]



# 2
This record from Alexandria via LeMat-Bulk describes a PBEsol-optimized structure of CrRuPt. The functional is meta-GGA SCAN.

Output
**Energy of formation**: -21 meV/atom

Cell: 2.6618 2.6618 6.4925 Å, 90.00 90.00 120.00°
Space group P3m1 (No. 156)
Symmetry-distinct sites (fractional):
Cr: 0.0000 0.0000 0.0000 [1 per cell]
Ru: 0.6667 0.3333 0.3012 [1 per cell]
Pt: 0.3333 0.6667 0.6679 [1 per cell]



# 3
This record from Alexandria via LeMat-Bulk describes a PBEsol-optimized structure of OsNClF2. The functional is meta-GGA SCAN.

Output
**ΔE_f (raw)**: 1570 meV/atom

Cell: 4.783 4.783 3.171 Å, 90.00 90.00 90.00°
Space group P4/mmm (No. 123)
Symmetry-distinct sites (fractional):
Os: 0.000 0.000 0.000 [1 per cell]
N: 0.500 0.500 0.000 [1 per cell]
Cl: 0.500 0.500 0.500 [1 per cell]
F: 0.000 0.500 0.500 [2 per cell]



# 4
This record from Alexandria via LeMat-Bulk describes a PBEsol-optimized structure of Sc2SiPb. The functional is meta-GGA SCAN.

Output
**ΔE_f (raw)**: -415 meV/atom

Cell: 4.453 4.453 4.077 Å, 90.00 90.00 90.00°
Space group P4/mmm (No. 123)
Symmetry-distinct sites (fractional):
Sc: 0.000 0.500 0.000 [2 per cell]
Si: 0.000 0.000 0.500 [1 per cell]
Pb: 0.500 0.500 0.500 [1 per cell]